No. 1
# PrDyRuPt | the Alexandria database | PBE | optimized geometry
# * ΔE_f: -0.62 eV/atom
data_PrDyRuPt
_chemical_formula_sum 'Pr4 Dy4 Ru4 Pt4'
_cell_length_a 7.0370
_cell_length_b 7.0370
_cell_length_c 7.0370
_cell_angle_alpha 90.00
_cell_angle_beta 90.00
_cell_angle_gamma 90.00
_space_group_name_H-M_alt 'F -4 3 m'
_space_group_IT_number 216
_space_group_name_Hall 'F -4 2 3'
loop_
_atom_site_label
_atom_site_fract_x
_atom_site_fract_y
_atom_site_fract_z
Pr1 0.0000 0.0000 0.0000
Dy1 0.0000 0.0000 0.5000
Ru1 0.2500 0.2500 0.2500
Pt1 0.2500 0.2500 0.7500


No. 2
# PrDySi2Pt5 | the Alexandria database | PBE | optimized geometry
# * E_form (uncorrected): -9.2 eV/f.u.
data_PrDySi2Pt5
_chemical_formula_sum 'Pr1 Dy1 Si2 Pt5'
_cell_length_a 4.2539
_cell_length_b 4.2539
_cell_length_c 8.9964
_cell_angle_alpha 90.00
_cell_angle_beta 90.00
_cell_angle_gamma 90.00
_space_group_name_H-M_alt 'P 4/m m m'
_space_group_IT_number 123
_space_group_name_Hall '-P 4 2'
loop_
_atom_site_label
_atom_site_fract_x
_atom_site_fract_y
_atom_site_fract_z
Pr1 0.0000 0.0000 0.0000
Dy1 0.0000 0.0000 0.5000
Si1 0.5000 0.5000 0.3686
Pt1 0.0000 0.5000 0.2424
Pt2 0.5000 0.5000 0.0000


No. 3
# Pr2DySi3Pt4 | the Alexandria database | PBE | optimized geometry
# * E_form (uncorrected): -10.5 eV/f.u.
data_Pr2DySi3Pt4
_chemical_formula_sum 'Pr2 Dy1 Si3 Pt4'
_cell_length_a 4.2995
_cell_length_b 4.2995
_cell_length_c 10.8097
_cell_angle_alpha 90.00
_cell_angle_beta 90.00
_cell_angle_gamma 90.00
_space_group_name_H-M_alt 'P -4 m 2'
_space_group_IT_number 115
loop_
_space_group_symop_operation_xyz
'x,y,z'
'y,-x,-z'
'-x,-y,z'
'-y,x,-z'
'-x,y,z'
'-y,-x,-z'
'x,-y,z'
'y,x,-z'
loop_
_atom_site_label
_atom_site_fract_x
_atom_site_fract_y
_atom_site_fract_z
Pr1 0.0000 0.5000 0.2279
Dy1 0.0000 0.0000 0.5000
Si1 0.0000 0.5000 0.8821
Si2 0.5000 0.5000 0.5000
Pt1 0.0000 0.0000 0.0000
Pt2 0.0000 0.5000 0.6595
Pt3 0.5000 0.5000 0.0000


No. 4
# Pr2DyZn3Pt4 | the Alexandria database | PBE | optimized geometry
# * ΔE_f: -0.83 eV/atom
data_Pr2DyZn3Pt4
_chemical_formula_sum 'Pr2 Dy1 Zn3 Pt4'
_cell_length_a 4.2044
_cell_length_b 4.2044
_cell_length_c 11.7198
_cell_angle_alpha 90.00
_cell_angle_beta 90.00
_cell_angle_gamma 90.00
_space_group_name_H-M_alt 'P -4 m 2'
_space_group_IT_number 115
loop_
_space_group_symop_operation_xyz
'x,y,z'
'y,-x,-z'
'-x,-y,z'
'-y,x,-z'
'-x,y,z'
'-y,-x,-z'
'x,-y,z'
'y,x,-z'
loop_
_atom_site_label
_atom_site_fract_x
_atom_site_fract_y
_atom_site_fract_z
Pr1 0.0000 0.5000 0.2250
Dy1 0.0000 0.0000 0.5000
Zn1 0.0000 0.5000 0.8749
Zn2 0.5000 0.5000 0.5000
Pt1 0.0000 0.0000 0.0000
Pt2 0.0000 0.5000 0.6581
Pt3 0.5000 0.5000 0.0000


No. 5
# Pr12Dy7Pu | the Alexandria database | PBE | optimized geometry
# * ΔE_f: 0.21 eV/atom
data_Pr12Dy7Pu
_chemical_formula_sum 'Pr36 Dy21 Pu3'
_cell_length_a 19.6777
_cell_length_b 19.6777
_cell_length_c 6.2645
_cell_angle_alpha 90.00
_cell_angle_beta 90.00
_cell_angle_gamma 120.00
_space_group_name_H-M_alt 'R -3'
_space_group_IT_number 148
_space_group_name_Hall '-R 3'
loop_
_atom_site_label
_atom_site_fract_x
_atom_site_fract_y
_atom_site_fract_z
Pr1 0.0004 0.4123 0.0004
Pr2 0.0978 0.5495 0.4806
Dy1 0.0000 0.0000 0.0000
Dy2 0.0794 0.9193 0.3058
Pu1 0.0000 0.0000 0.5000


No. 6
# Pr2Dy6Pu | the Alexandria database | PBE | optimized geometry
# * ΔE_f: 0.10 eV/atom
data_Pr2Dy6Pu
_chemical_formula_sum 'Pr4 Dy12 Pu2'
_cell_length_a 6.6526
_cell_length_b 10.0549
_cell_length_c 10.1473
_cell_angle_alpha 60.37
_cell_angle_beta 84.64
_cell_angle_gamma 79.16
_space_group_name_H-M_alt 'P -1'
_space_group_IT_number 2
loop_
_space_group_symop_operation_xyz
'x,y,z'
'-x,-y,-z'
loop_
_atom_site_label
_atom_site_fract_x
_atom_site_fract_y
_atom_site_fract_z
Pr1 0.0831 0.1521 0.0571
Pr2 0.4174 0.7891 0.0575
Dy1 0.0128 0.7907 0.3293
Dy2 0.1560 0.4920 0.7144
Dy3 0.1669 0.1440 0.3982
Dy4 0.3337 0.4568 0.3988
Dy5 0.3432 0.7932 0.7139
Dy6 0.4897 0.8808 0.3280
Pu1 0.2500 0.4746 0.0506


No. 7
# Pr6Dy8Pu | the Alexandria database | PBE | optimized geometry
# * ΔE_f: 0.12 eV/atom
data_Pr6Dy8Pu
_chemical_formula_sum 'Pr18 Dy24 Pu3'
_cell_length_a 9.1378
_cell_length_b 9.1378
_cell_length_c 20.7670
_cell_angle_alpha 90.00
_cell_angle_beta 90.00
_cell_angle_gamma 120.00
_space_group_name_H-M_alt 'R -3'
_space_group_IT_number 148
_space_group_name_Hall '-R 3'
loop_
_atom_site_label
_atom_site_fract_x
_atom_site_fract_y
_atom_site_fract_z
Pr1 0.0666 0.8128 0.2085
Dy1 0.0000 0.0000 0.0763
Dy2 0.0820 0.5201 0.3065
Pu1 0.0000 0.0000 0.5000


No. 8
# Pr2DyPu | the Alexandria database | PBE | optimized geometry
# * ΔE_f: 0.13 eV/atom
data_Pr2DyPu
_chemical_formula_sum 'Pr6 Dy3 Pu3'
_cell_length_a 3.6221
_cell_length_b 3.6221
_cell_length_c 34.9620
_cell_angle_alpha 90.00
_cell_angle_beta 90.00
_cell_angle_gamma 120.00
_space_group_name_H-M_alt 'R 3 m'
_space_group_IT_number 160
_space_group_name_Hall 'R 3 -2"'
loop_
_atom_site_label
_atom_site_fract_x
_atom_site_fract_y
_atom_site_fract_z
Pr1 0.0000 0.0000 0.0000
Pr2 0.0000 0.0000 0.1684
Dy1 0.0000 0.0000 0.4175
Pu1 0.0000 0.0000 0.5845


no.,DOS(E_F) (states/eV per cell)
1,10.6
2,3.6
3,6.5
4,4.4
5,97.5
6,32.8
7,63.0
8,35.4